Below is InTcRh2 after structural relaxation, with properties calculated at the PBE level.

Lattice parameters (Å, degrees): 4.1766 4.1773 3.6750 90.00 90.00 90.00
With the nearest neighbours (Å) after each atom.
Fractional positions:
Rh (0.5000, 0.5000, 0.0000)  4 In 2.78, 4 Tc 2.78, 4 Rh 2.95
Tc (0.5000, 0.0000, 0.5000)  8 Rh 2.78, 4 In 2.95
In (0.0000, 0.5000, 0.5000)  8 Rh 2.78, 4 Tc 2.95
Rh (0.0000, 0.0000, 0.0000)  4 Tc 2.78, 4 In 2.78, 4 Rh 2.95

Values from the calculation:
Its formation energy is 0.360 eV per formula unit. As for the calculated total energy: -6.862 eV/atom. As for the magnetization: 2.9 μB per cell.